Here is an optimized crystal structure of TbY2Pa from Alexandria. Energies are from PBE-GGA.

Cell: 3.416 3.416 10.295 Å, 90.00 90.00 90.00°
Each line ends with the local moment (μB).
Atoms (fractional coordinates):
Y (0.000, 0.000, 0.234)  0.00
Y (0.000, 0.000, 0.766)  0.00
Tb (0.500, 0.500, 0.500)  0.01
Pa (0.500, 0.500, 0.000)  0.17

## Properties
total DFT energy (no corrections) = -6.614 eV/atom
total magnetic moment = 0.22 μB per cell
energy of formation = 0.149 eV per atom
theoretical density = 7.85 g/cm3
density of states at the Fermi level = 6.93 states/eV/cell
distance to the lowest polymorph of the same formula = 25.5 meV/atom

Here is an optimized crystal structure of Nb2NiPb from Alexandria. Energies are from PBE-GGA.

Cell: 7.378 7.378 5.921 Å, 51.46 51.46 90.00°
Atoms (fractional coordinates):
Ni (0.250, 0.750, 0.500)
Ni (0.500, 0.500, 0.000)
Pb (0.750, 0.250, 0.500)
Nb (0.586, 0.125, 0.250)
Nb (0.375, 0.414, 0.750)
Nb (0.875, 0.836, 0.750)
Pb (0.000, 0.000, 0.000)
Nb (0.164, 0.625, 0.250)

## Properties
total DFT energy (no corrections) = -6.981 eV/atom
total magnetic moment = 0.00 μB per cell
energy of formation = 0.426 eV per atom
theoretical density = 9.84 g/cm3
density of states at the Fermi level = 6.49 states/eV/cell

Here is an optimized crystal structure of ThSiPIr6 from Alexandria. Energies are from PBE-GGA.

Cell: 7.204 8.326 7.812 Å, 122.20 117.46 90.00°
Atoms (fractional coordinates):
P (0.500, 0.000, 0.000)
Ir (0.125, 0.359, 0.746)
Ir (0.621, 0.359, 0.746)
Ir (0.621, 0.886, 0.746)
Ir (0.875, 0.114, 0.254)
Ir (0.379, 0.641, 0.254)
Th (0.845, 0.595, 0.689)
Ir (0.110, 0.860, 0.221)
Th (0.155, 0.405, 0.311)
Ir (0.379, 0.114, 0.254)
Ir (0.125, 0.886, 0.746)
Ir (0.412, 0.662, 0.824)
P (0.500, 0.500, 0.000)
Si (0.500, 0.000, 0.500)
Si (0.000, 0.000, 0.500)
Ir (0.588, 0.338, 0.176)
Ir (0.890, 0.140, 0.779)
Ir (0.875, 0.641, 0.254)

## Properties
total DFT energy (no corrections) = -8.092 eV/atom
total magnetic moment = 0.00 μB per cell
theoretical density = 14.43 g/cm3
density of states at the Fermi level = 15.37 states/eV/cell

- Which value of total magnetic moment does entry 2 give?
  0.00 μB per cell